Entry from Alexandria: RbNaO2F after structural relaxation (PBE).

For the uncorrected formation energy, the calculation gives -251 meV per atom. As for the crystal system: tetragonal. The total energy comes out at -3.066 eV per atom. The value obtained for the magnetization is 0.79 μB per cell.

It has space group P4/mmm (No. 123), with a = 4.476 Å, b = 4.476 Å, c = 5.161 Å, α = 90.00°, β = 90.00° and γ = 90.00°. The inequivalent atoms are Rb at (0.000, 0.000, 0.000), Na at (0.500, 0.500, 0.500), O at (0.000, 0.500, 0.000) and F at (0.000, 0.000, 0.500).